{
  "formula": "Sr4ErCr3O12",
  "functional": "PBE+U",
  "state": "optimized geometry",
  "cell": [[-3.9849, 3.9849, 3.9849], [3.9849, -3.9849, 3.9849], [3.9849, 3.9849, -3.9849]],
  "species": ["Sr", "Sr", "Sr", "Sr", "Er", "Cr", "Cr", "Cr", "O", "O", "O", "O", "O", "O", "O", "O", "O", "O", "O", "O"],
  "frac_coords": [[0.0000, 0.0000, 0.5000], [0.0000, 0.5000, 0.0000], [0.5000, 0.0000, 0.0000], [0.5000, 0.5000, 0.5000], [0.0000, 0.0000, 0.0000], [0.0000, 0.5000, 0.5000], [0.5000, 0.0000, 0.5000], [0.5000, 0.5000, 0.0000], [0.0000, 0.2685, 0.2685], [0.0000, 0.7315, 0.7315], [0.2500, 0.5000, 0.7500], [0.2500, 0.7500, 0.5000], [0.2685, 0.0000, 0.2685], [0.2685, 0.2685, 0.0000], [0.5000, 0.2500, 0.7500], [0.5000, 0.7500, 0.2500], [0.7315, 0.0000, 0.7315], [0.7315, 0.7315, 0.0000], [0.7500, 0.2500, 0.5000], [0.7500, 0.5000, 0.2500]],
  "spacegroup": "Im-3m",
  "dft_energy_ev_per_atom": -6.97,
  "volume_a3_per_cell": 253.1
}